No. 1
Below is HfCrI2Cl after structural relaxation, with properties calculated at the PBE level.

Space-group type: No. 123
DFT total energy (eV/atom): -4.5147
Raw formation energy (eV/f.u.): 1.950

a b c (Å): 5.2306 5.2306 5.0118
angles (deg): 90.00 90.00 90.00
With the nearest neighbours (Å) after each atom.
Fractional coordinates of all 5 atoms:
Hf1 0.0000 0.0000 0.0000  2 Cr 2.51
Cr1 0.0000 0.0000 0.5000  2 Hf 2.51, 4 I 2.62
I1 0.0000 0.5000 0.5000  2 Cr 2.62
I2 0.5000 0.0000 0.5000  2 Cr 2.62
Cl1 0.5000 0.5000 0.0000  8 I 3.62, 4 Hf 3.70



No. 2
Below is Co2AsAu after structural relaxation, with properties calculated at the PBE level.

Space-group type: No. 25
DFT total energy (eV/atom): -5.3723
Calculated formation energy (eV/atom): 0.162

a b c (Å): 2.7712 3.4378 6.2083
angles (deg): 90.00 90.00 90.00
With the nearest neighbours (Å) after each atom.
Fractional coordinates of all 4 atoms:
Co1 0.0000 0.0000 0.0000  1 As 2.40, 4 Co 2.47
Co2 0.5000 0.5000 0.1800  6 Co 2.47-2.77, 4 As 2.55, 1 Au 2.71
As1 0.0000 0.0000 0.3858  5 Co 2.40-2.55
Au1 0.5000 0.5000 0.7429  5 Co 2.71-2.72, 2 Au 2.77



No. 3
Below is Cu2Te3S4 after structural relaxation, with properties calculated at the PBE level.

Space-group type: No. 15
DFT total energy (eV/atom): -3.7690
Raw formation energy (eV/f.u.): 0.206

a b c (Å): 8.6695 8.6695 6.0793
angles (deg): 100.33 100.33 84.03
With the nearest neighbours (Å) after each atom.
Fractional coordinates of all 18 atoms:
Cu1 0.0914 0.3101 0.3876  4 S 2.32-2.43
Cu2 0.3101 0.0914 0.8876  4 S 2.32-2.43
Cu3 0.6899 0.9086 0.1124  4 S 2.32-2.43
Cu4 0.9086 0.6899 0.6124  4 S 2.32-2.43
Te1 0.0244 0.9756 0.7500  2 Cu 2.70
Te2 0.2884 0.5254 0.9746  2 S 2.42-2.43
Te3 0.4746 0.7116 0.5254  2 S 2.42-2.43
Te4 0.5254 0.2884 0.4746  2 S 2.42-2.43
Te5 0.7116 0.4746 0.0254  2 S 2.42-2.43
Te6 0.9756 0.0244 0.2500  2 Cu 2.70
S1 0.1473 0.3070 0.0092  2 Cu 2.32-2.43, 1 Te 2.42
S2 0.1566 0.5598 0.5970  2 Cu 2.33-2.37, 1 Te 2.43
S3 0.3070 0.1473 0.5092  2 Cu 2.32-2.43, 1 Te 2.42
S4 0.4402 0.8434 0.9030  2 Cu 2.33-2.37, 1 Te 2.43
S5 0.5598 0.1566 0.0970  2 Cu 2.33-2.37, 1 Te 2.43
S6 0.6930 0.8527 0.4908  2 Cu 2.32-2.43, 1 Te 2.42
S7 0.8434 0.4402 0.4030  2 Cu 2.33-2.37, 1 Te 2.43
S8 0.8527 0.6930 0.9908  2 Cu 2.32-2.43, 1 Te 2.42



No. 4
Below is TiTePt2 after structural relaxation, with properties calculated at the PBE level.

Space-group type: No. 122
DFT total energy (eV/atom): -5.8737
Raw formation energy (eV/f.u.): -0.377

a b c (Å): 7.0289 7.0289 7.0289
angles (deg): 129.40 129.40 74.36
With the nearest neighbours (Å) after each atom.
Fractional coordinates of all 8 atoms:
Ti1 0.0000 0.0000 0.0000  4 Pt 2.48
Ti2 0.7500 0.2500 0.5000  4 Pt 2.48
Te1 0.2500 0.7500 0.5000  4 Pt 2.62
Te2 0.5000 0.5000 0.0000  4 Pt 2.62
Pt1 0.1051 0.6250 0.9801  2 Ti 2.48, 2 Te 2.62
Pt2 0.3750 0.3551 0.4801  2 Ti 2.48, 2 Te 2.62
Pt3 0.6449 0.1250 0.0199  2 Ti 2.48, 2 Te 2.62
Pt4 0.8750 0.8949 0.5199  2 Ti 2.48, 2 Te 2.62



No. 5
Below is SrCaY2 after structural relaxation, with properties calculated at the PBE level.

Space-group type: No. 65
E above lowest polymorph (meV/atom): 115.5
DFT total energy (eV/atom): -3.9539
Calculated formation energy (eV/atom): 0.199

a b c (Å): 3.6230 3.6230 12.4575
angles (deg): 90.00 90.00 111.76
With the nearest neighbours (Å) after each atom.
Fractional coordinates of all 4 atoms:
Sr1 0.0000 0.0000 0.0000  4 Sr 3.62, 4 Y 3.80
Ca1 0.0000 0.0000 0.5000  4 Ca 3.62, 4 Y 3.64
Y1 0.5000 0.5000 0.2579  4 Y 3.62, 2 Ca 3.64, 2 Sr 3.80
Y2 0.5000 0.5000 0.7421  4 Y 3.62, 2 Ca 3.64, 2 Sr 3.80



No. 6
Below is La4GaAgN after structural relaxation, with properties calculated at the PBE level.

Space-group type: No. 63
DFT total energy (eV/atom): -5.4425
Raw formation energy (eV/f.u.): -4.184

a b c (Å): 8.3825 8.3825 7.2364
angles (deg): 90.00 90.00 128.90
With the nearest neighbours (Å) after each atom.
Fractional coordinates of all 14 atoms:
La1 0.0000 0.5000 0.0000  2 N 2.56
La2 0.0000 0.5000 0.5000  2 N 2.56
La3 0.0790 0.9210 0.7500  1 N 2.54
La4 0.4212 0.5788 0.7500  1 N 2.64
La5 0.5000 0.0000 0.0000  2 N 2.56
La6 0.5000 0.0000 0.5000  2 N 2.56
La7 0.5788 0.4212 0.2500  1 N 2.64
La8 0.9210 0.0790 0.2500  1 N 2.54
Ga1 0.1252 0.8748 0.2500  5 La 3.09-3.18
Ga2 0.8748 0.1252 0.7500  5 La 3.09-3.18
Ag1 0.3810 0.6190 0.2500  5 La 2.99-3.24
Ag2 0.6190 0.3810 0.7500  5 La 2.99-3.24
N1 0.2468 0.7532 0.7500  6 La 2.54-2.64
N2 0.7532 0.2468 0.2500  6 La 2.54-2.64



No. 7
Below is GeTeSe after structural relaxation, with properties calculated at the PBE level.

Space-group type: No. 12
E above lowest polymorph (meV/atom): 3.1
DFT total energy (eV/atom): -3.8512
Raw formation energy (eV/f.u.): -0.310

a b c (Å): 7.6065 7.6065 3.8209
angles (deg): 104.41 104.41 108.03
With the nearest neighbours (Å) after each atom.
Fractional coordinates of all 6 atoms:
Ge1 0.1370 0.8630 0.0000  2 Se 2.46, 2 Te 2.64
Ge2 0.8630 0.1370 0.0000  2 Se 2.46, 2 Te 2.64
Te1 0.2502 0.2502 0.2476  2 Ge 2.64
Te2 0.7498 0.7498 0.7524  2 Ge 2.64
Se1 0.2624 0.7376 0.5000  2 Ge 2.46
Se2 0.7376 0.2624 0.5000  2 Ge 2.46



No. 8
Below is SrLa2Mn after structural relaxation, with properties calculated at the PBE level.

Space-group type: No. 12
E above lowest polymorph (meV/atom): 271.2
DFT total energy (eV/atom): -4.6971
Calculated formation energy (eV/atom): 0.479

a b c (Å): 6.9716 6.9716 3.6256
angles (deg): 102.29 102.29 121.14
With the nearest neighbours (Å) after each atom.
Fractional coordinates of all 4 atoms:
Sr1 0.0000 0.0000 0.0000  4 Mn 3.43-3.76, 4 La 3.57, 2 Sr 3.63
La1 0.0000 0.5000 0.5000  6 La 3.43-3.76, 2 Sr 3.57, 2 Mn 3.57
La2 0.5000 0.0000 0.5000  6 La 3.43-3.76, 2 Sr 3.57, 2 Mn 3.57
Mn1 0.5000 0.5000 0.0000  4 Sr 3.43-3.76, 4 La 3.57, 2 Mn 3.63



No. 9
Below is BaIrAu3 after structural relaxation, with properties calculated at the PBE level.

Space-group type: No. 221
E above lowest polymorph (meV/atom): 0.0
DFT total energy (eV/atom): -4.1798
Calculated formation energy (eV/atom): -0.057

a b c (Å): 5.1542 5.1542 5.1542
angles (deg): 90.00 90.00 90.00
With the nearest neighbours (Å) after each atom.
Fractional coordinates of all 5 atoms:
Ba1 0.0000 0.0000 0.0000  12 Au 3.64
Ir1 0.5000 0.5000 0.5000  6 Au 2.58
Au1 0.0000 0.5000 0.5000  2 Ir 2.58
Au2 0.5000 0.0000 0.5000  2 Ir 2.58
Au3 0.5000 0.5000 0.0000  2 Ir 2.58



No. 10
Below is CuAuF after structural relaxation, with properties calculated at the PBE level.

Space-group type: No. 38
E above lowest polymorph (meV/atom): 22.9
DFT total energy (eV/atom): -3.7058
Raw formation energy (eV/f.u.): -1.872

a b c (Å): 11.7692 2.9086 2.9086
angles (deg): 60.24 90.00 90.00
With the nearest neighbours (Å) after each atom.
Fractional coordinates of all 6 atoms:
Cu1 0.0000 0.0000 0.0000  4 F 1.98
Cu2 0.5000 0.3126 0.3126  6 Au 2.67-2.68, 6 Cu 2.91-2.92
Au1 0.3235 0.9754 0.9754  3 Cu 2.67-2.68, 2 F 2.87, 6 Au 2.91-2.92
Au2 0.6765 0.9754 0.9754  3 Cu 2.67-2.68, 2 F 2.87, 6 Au 2.91-2.92
F1 0.1133 0.4993 0.4993  2 Cu 1.98
F2 0.8867 0.4993 0.4993  2 Cu 1.98



No. 11
Below is CaAu3 after structural relaxation, with properties calculated at the PBE level.

Space-group type: No. 123
DFT total energy (eV/atom): -3.4517
Calculated formation energy (eV/atom): -0.493

a b c (Å): 4.3651 4.3651 4.2659
angles (deg): 90.00 90.00 90.00
With the nearest neighbours (Å) after each atom.
Fractional coordinates of all 4 atoms:
Ca1 0.0000 0.0000 0.0000  12 Au 3.05-3.09
Au1 0.0000 0.5000 0.5000  4 Ca 3.05, 8 Au 3.05-3.09
Au2 0.5000 0.0000 0.5000  4 Ca 3.05, 8 Au 3.05-3.09
Au3 0.5000 0.5000 0.0000  8 Au 3.05, 4 Ca 3.09



No. 12
Below is PbAu after structural relaxation, with properties calculated at the PBE level.

Space-group type: No. 187
DFT total energy (eV/atom): -3.4758
Calculated formation energy (eV/atom): 0.017

a b c (Å): 3.8924 3.8924 4.0318
angles (deg): 90.00 90.00 120.00
With the nearest neighbours (Å) after each atom.
Fractional coordinates of all 2 atoms:
Pb1 0.0000 0.0000 0.0000  6 Au 3.02
Au1 0.3333 0.6667 0.5000  6 Pb 3.02